[1]
Below is a relaxed TlCo9 crystal, with properties calculated at the GGA-PBE level.

Unit cell a=2.6131 b=2.6131 c=45.3259 alpha=90.00 beta=90.00 gamma=90.00
Closest atoms and distances in Å follow each position.
Fractional positions:
Tl: 0.2500 0.2500 0.1444  4 Tl 2.61
Tl: 0.7500 0.7500 0.8556  4 Tl 2.61
Co: 0.2500 0.2500 0.2303  12 Co 2.41-2.61
Co: 0.2500 0.2500 0.3013  12 Co 2.42-2.61
Co: 0.2500 0.2500 0.3735  12 Co 2.43-2.61
Co: 0.2500 0.2500 0.4455  12 Co 2.45-2.61
Co: 0.2500 0.2500 0.5173  12 Co 2.42-2.61
Co: 0.2500 0.2500 0.5899  12 Co 2.45-2.61
Co: 0.2500 0.2500 0.6612  12 Co 2.43-2.61
Co: 0.2500 0.2500 0.7331  12 Co 2.42-2.61
Co: 0.2500 0.2500 0.8038  8 Co 2.41-2.61
Co: 0.7500 0.7500 0.1962  8 Co 2.41-2.61
Co: 0.7500 0.7500 0.2669  12 Co 2.42-2.61
Co: 0.7500 0.7500 0.3388  12 Co 2.43-2.61
Co: 0.7500 0.7500 0.4101  12 Co 2.45-2.61
Co: 0.7500 0.7500 0.4827  12 Co 2.42-2.61
Co: 0.7500 0.7500 0.5545  12 Co 2.45-2.61
Co: 0.7500 0.7500 0.6265  12 Co 2.43-2.61
Co: 0.7500 0.7500 0.6987  12 Co 2.42-2.61
Co: 0.7500 0.7500 0.7697  12 Co 2.41-2.61

***

[2]
Below is a relaxed Fe2TeS3 crystal, with properties calculated at the GGA-PBE level.

Unit cell a=4.7069 b=3.5023 c=5.6454 alpha=90.00 beta=93.17 gamma=90.00
Closest atoms and distances in Å follow each position.
Fractional positions:
Fe: 0.0000 0.0000 0.0000  5 S 2.24-2.30, 1 Te 2.46
Fe: 0.4682 0.5000 0.5254  4 S 2.23-2.30, 2 Te 2.43
Te: 0.7744 0.0000 0.3821  3 Fe 2.43-2.46, 1 S 2.49
S: 0.2096 0.0000 0.6531  3 Fe 2.24-2.27, 1 Te 2.49
S: 0.2682 0.5000 0.1452  3 Fe 2.28-2.30
S: 0.7098 0.5000 0.8768  3 Fe 2.23-2.30

***

[3]
Below is a relaxed Dy2YAgHg3Au2 crystal, with properties calculated at the GGA-PBE level.

Values from the calculation:
ΔE_f = -0.587 eV/atom

Unit cell a=3.7412 b=7.9778 c=7.9778 alpha=120.02 beta=90.00 gamma=90.00
Closest atoms and distances in Å follow each position.
Fractional positions:
Dy: 0.0000 0.2015 0.7985  4 Au 3.06, 6 Hg 3.21-3.40, 1 Ag 3.21
Dy: 0.0000 0.7985 0.2015  4 Au 3.06, 6 Hg 3.21-3.40, 1 Ag 3.21
Y: 0.0000 0.6036 0.6036  4 Au 3.08, 6 Hg 3.20-3.39, 1 Ag 3.21
Ag: 0.0000 0.2005 0.2005  6 Hg 2.86
Hg: 0.5000 0.2019 0.4723  2 Ag 2.86, 2 Au 2.93-2.94
Hg: 0.5000 0.4723 0.2019  2 Ag 2.86, 2 Au 2.93-2.94
Hg: 0.5000 0.9296 0.9296  2 Ag 2.86, 2 Au 2.94
Au: 0.5000 0.5343 0.8691  3 Hg 2.93-2.94, 4 Dy 3.06, 2 Y 3.08
Au: 0.5000 0.8691 0.5343  3 Hg 2.93-2.94, 4 Dy 3.06, 2 Y 3.08

***

[4]
Below is a relaxed LiGdCdS3 crystal, with properties calculated at the GGA-PBE level.

Unit cell a=10.9664 b=3.9320 c=11.4625 alpha=90.00 beta=90.00 gamma=90.00
Closest atoms and distances in Å follow each position.
Fractional positions:
Li: 0.1201 0.2500 0.0750  6 S 2.66-2.82
Li: 0.3799 0.7500 0.5750  6 S 2.66-2.82
Li: 0.6201 0.2500 0.4250  6 S 2.66-2.82
Li: 0.8799 0.7500 0.9250  6 S 2.66-2.82
Gd: 0.1248 0.2500 0.7541  6 S 2.73-2.79
Gd: 0.3752 0.7500 0.2541  6 S 2.73-2.79
Gd: 0.6248 0.2500 0.7459  6 S 2.73-2.79
Gd: 0.8752 0.7500 0.2459  6 S 2.73-2.79
Cd: 0.1280 0.2500 0.4089  6 S 2.71-2.79
Cd: 0.3720 0.7500 0.9089  6 S 2.71-2.79
Cd: 0.6280 0.2500 0.0911  6 S 2.71-2.79
Cd: 0.8720 0.7500 0.5911  6 S 2.71-2.79
S: 0.1231 0.7500 0.5820  3 Cd 2.76-2.79, 2 Gd 2.79, 1 Li 2.82
S: 0.1247 0.7500 0.9193  3 Li 2.66-2.68, 1 Cd 2.71, 2 Gd 2.73
S: 0.1256 0.7500 0.2427  2 Cd 2.74, 2 Gd 2.74-2.75, 2 Li 2.75
S: 0.3744 0.2500 0.7427  2 Cd 2.74, 2 Gd 2.74-2.75, 2 Li 2.75
S: 0.3753 0.2500 0.4193  3 Li 2.66-2.68, 1 Cd 2.71, 2 Gd 2.73
S: 0.3769 0.2500 0.0820  3 Cd 2.76-2.79, 2 Gd 2.79, 1 Li 2.82
S: 0.6231 0.7500 0.9180  3 Cd 2.76-2.79, 2 Gd 2.79, 1 Li 2.82
S: 0.6247 0.7500 0.5807  3 Li 2.66-2.68, 1 Cd 2.71, 2 Gd 2.73
S: 0.6256 0.7500 0.2573  2 Cd 2.74, 2 Gd 2.74-2.75, 2 Li 2.75
S: 0.8744 0.2500 0.7573  2 Cd 2.74, 2 Gd 2.74-2.75, 2 Li 2.75
S: 0.8753 0.2500 0.0807  3 Li 2.66-2.68, 1 Cd 2.71, 2 Gd 2.73
S: 0.8769 0.2500 0.4180  3 Cd 2.76-2.79, 2 Gd 2.79, 1 Li 2.82

***

[5]
Below is a relaxed Er2BeCuSi2 crystal, with properties calculated at the GGA-PBE level.

Unit cell a=3.9502 b=3.9502 c=7.8720 alpha=90.00 beta=90.00 gamma=120.00
Closest atoms and distances in Å follow each position.
Fractional positions:
Er: 0.0000 0.0000 0.2499  3 Be 3.01, 6 Si 3.01, 3 Cu 3.01
Er: 0.0000 0.0000 0.7501  3 Be 3.01, 6 Si 3.01, 3 Cu 3.01
Be: 0.3333 0.6667 0.0000  3 Si 2.28
Cu: 0.6667 0.3333 0.5000  3 Si 2.28
Si: 0.3333 0.6667 0.5000  3 Cu 2.28
Si: 0.6667 0.3333 0.0000  3 Be 2.28

***

[6]
Below is a relaxed AcNbHg crystal, with properties calculated at the GGA-PBE level.

Values from the calculation:
ΔE_f = 1.115 eV/atom

Unit cell a=7.4162 b=7.4162 c=7.4162 alpha=90.00 beta=90.00 gamma=90.00
Closest atoms and distances in Å follow each position.
Fractional positions:
Ac: 0.0000 0.0000 0.0000  4 Hg 3.21, 4 Nb 3.21
Ac: 0.0000 0.5000 0.5000  4 Hg 3.21, 4 Nb 3.21
Ac: 0.5000 0.0000 0.5000  4 Hg 3.21, 4 Nb 3.21
Ac: 0.5000 0.5000 0.0000  4 Hg 3.21, 4 Nb 3.21
Nb: 0.2500 0.2500 0.2500  4 Ac 3.21
Nb: 0.2500 0.7500 0.7500  4 Ac 3.21
Nb: 0.7500 0.2500 0.7500  4 Ac 3.21
Nb: 0.7500 0.7500 0.2500  4 Ac 3.21
Hg: 0.2500 0.2500 0.7500  4 Ac 3.21
Hg: 0.2500 0.7500 0.2500  4 Ac 3.21
Hg: 0.7500 0.2500 0.2500  4 Ac 3.21
Hg: 0.7500 0.7500 0.7500  4 Ac 3.21

***

| no. | electronic total energy (eV per formula unit) |
| --- | --- |
| 1 | -64.029 |
| 2 | -34.133 |
| 3 | -31.206 |
| 4 | -28.127 |
| 5 | -31.169 |
| 6 | -11.151 |